i.
The following is a DFT calculation (SCAN) of CaAlRe at its PBEsol-relaxed geometry.

a b c (Å): 2.816 4.038 5.686
angles (deg): 110.80 104.34 90.00
Fractional coordinates of all 3 atoms:
Re1 0.625 0.625 0.249
Al1 0.047 0.047 0.093
Ca1 0.329 0.329 0.657

The value obtained for the total moment is 0.00 μB per formula unit. The symmetry is Imm2, No. 44.

ii.
The following is a DFT calculation (SCAN) of CaAlRe at its PBEsol-relaxed geometry.

a b c (Å): 2.838 2.838 7.064
angles (deg): 101.59 101.59 90.00
Last column: magnetic moment on the atom in μB.
Fractional coordinates of all 3 atoms:
Re1 0.349 0.349 0.697  -0.28
Ca1 0.670 0.670 0.340  0.01
Al1 0.981 0.981 0.963  0.00

The value obtained for the total moment is 0.30 μB per formula unit. The symmetry is I4mm, No. 107.

iii.
The following is a DFT calculation (SCAN) of CaAlRe at its PBEsol-relaxed geometry.

a b c (Å): 4.465 4.465 4.465
angles (deg): 60.00 60.00 60.00
Last column: magnetic moment on the atom in μB.
Fractional coordinates of all 3 atoms:
Ca1 0.000 0.000 0.000  0.01
Re1 0.500 0.500 0.500  1.19
Al1 0.250 0.250 0.250  -0.03

The value obtained for the total moment is 1.46 μB per formula unit. The symmetry is F-43m, No. 216.

Most stable: i (next structure +93 meV per atom)

i.
The following is a DFT calculation (SCAN) of CaTaAl2 at its PBEsol-relaxed geometry.

a b c (Å): 2.901 4.879 6.095
angles (deg): 95.92 90.00 107.30
Fractional coordinates of all 4 atoms:
Ca1 0.000 0.000 0.500
Ta1 0.500 0.000 0.000
Al1 0.757 0.514 0.808
Al2 0.243 0.486 0.192

The value obtained for the total moment is 0.00 μB per formula unit. The symmetry is C2/m, No. 12.

ii.
The following is a DFT calculation (SCAN) of CaTaAl2 at its PBEsol-relaxed geometry.

a b c (Å): 2.969 3.918 6.662
angles (deg): 90.00 90.00 90.00
Fractional coordinates of all 4 atoms:
Al1 0.000 0.000 0.705
Al2 0.000 0.000 0.295
Ta1 0.500 0.500 0.500
Ca1 0.500 0.500 0.000

The value obtained for the total moment is 0.00 μB per formula unit. The symmetry is Pmmm, No. 47.

iii.
The following is a DFT calculation (SCAN) of CaTaAl2 at its PBEsol-relaxed geometry.

a b c (Å): 4.541 4.541 9.928
angles (deg): 103.22 103.22 90.00
Last column: magnetic moment on the atom in μB.
Fractional coordinates of all 8 atoms:
Al1 0.272 0.875 0.250  -0.02
Al2 0.978 0.375 0.250  -0.02
Ca1 0.500 0.500 0.000  0.07
Al3 0.125 0.022 0.750  -0.02
Ta1 0.250 0.750 0.500  0.68
Ca2 0.750 0.250 0.500  0.07
Al4 0.625 0.728 0.750  -0.02
Ta2 0.000 0.000 0.000  0.68

The value obtained for the total moment is 1.12 μB per formula unit. The symmetry is I-42d, No. 122.

Most stable: ii (next structure +227 meV per atom)

i.
The following is a DFT calculation (SCAN) of CaAl2Tc at its PBEsol-relaxed geometry.

a b c (Å): 3.856 4.231 4.294
angles (deg): 90.00 90.00 90.00
Last column: magnetic moment on the atom in μB.
Fractional coordinates of all 4 atoms:
Ca1 0.500 0.000 0.500  -0.01
Tc1 0.000 0.500 0.500  1.28
Al1 0.000 0.000 0.000  -0.02
Al2 0.500 0.500 0.000  -0.03

The value obtained for the total moment is 1.23 μB per formula unit. The symmetry is Pmmm, No. 47.

ii.
The following is a DFT calculation (SCAN) of CaAl2Tc at its PBEsol-relaxed geometry.

a b c (Å): 4.236 4.835 4.236
angles (deg): 64.02 90.00 115.98
Last column: magnetic moment on the atom in μB.
Fractional coordinates of all 4 atoms:
Al1 0.750 0.500 0.750  -0.01
Ca1 0.500 0.000 0.500  -0.01
Al2 0.250 0.500 0.250  -0.01
Tc1 0.000 0.000 0.000  0.79

The value obtained for the total moment is 0.81 μB per formula unit. The symmetry is I4/mmm, No. 139.

Most stable: ii (next structure +218 meV per atom)

i.
The following is a DFT calculation (SCAN) of CaAl2Tc at its PBEsol-relaxed geometry.

a b c (Å): 3.236 3.236 6.915
angles (deg): 90.00 90.00 90.00
Last column: magnetic moment on the atom in μB.
Fractional coordinates of all 4 atoms:
Al1 0.000 0.000 0.315  0.00
Ca1 0.500 0.500 0.000  0.01
Tc1 0.500 0.500 0.500  0.23
Al2 0.000 0.000 0.685  0.00

The value obtained for the total moment is 0.28 μB per formula unit. The symmetry is P4/mmm, No. 123.

ii.
The following is a DFT calculation (SCAN) of CaAl2Tc at its PBEsol-relaxed geometry.

a b c (Å): 4.750 4.750 9.201
angles (deg): 104.96 104.96 90.00
Last column: magnetic moment on the atom in μB.
Fractional coordinates of all 8 atoms:
Al1 0.125 0.955 0.750  -0.01
Ca1 0.750 0.250 0.500  -0.01
Tc1 0.250 0.750 0.500  0.85
Al2 0.625 0.795 0.750  -0.01
Tc2 0.000 0.000 0.000  0.85
Ca2 0.500 0.500 0.000  -0.01
Al3 0.045 0.375 0.250  -0.01
Al4 0.205 0.875 0.250  -0.01

The value obtained for the total moment is 0.89 μB per formula unit. The symmetry is I-42d, No. 122.

Most stable: i (next structure +698 meV per atom)

i.
The following is a DFT calculation (SCAN) of Ca2AlTl at its PBEsol-relaxed geometry.

a b c (Å): 3.733 5.303 5.303
angles (deg): 90.00 90.00 90.00
Fractional coordinates of all 4 atoms:
Ca1 0.000 0.000 0.500
Tl1 0.500 0.000 0.000
Ca2 0.000 0.500 0.000
Al1 0.500 0.500 0.500

The value obtained for the total moment is 0.00 μB per formula unit. The symmetry is P4/mmm, No. 123.

ii.
The following is a DFT calculation (SCAN) of Ca2AlTl at its PBEsol-relaxed geometry.

a b c (Å): 6.814 6.814 6.814
angles (deg): 104.34 104.34 120.32
Fractional coordinates of all 8 atoms:
Ca1 0.871 0.875 0.496
Tl1 0.250 0.750 0.500
Al1 0.750 0.250 0.500
Ca2 0.625 0.129 0.004
Ca3 0.379 0.375 0.504
Ca4 0.125 0.621 0.996
Al2 0.500 0.500 0.000
Tl2 0.000 0.000 0.000

The value obtained for the total moment is 0.00 μB per formula unit. The symmetry is I-42d, No. 122.

Most stable: i (next structure +398 meV per atom)

i.
The following is a DFT calculation (SCAN) of Ca2AlTl at its PBEsol-relaxed geometry.

a b c (Å): 3.620 3.620 10.164
angles (deg): 79.74 79.74 60.00
Fractional coordinates of all 4 atoms:
Ca1 0.747 0.747 0.758
Tl1 0.500 0.500 0.500
Ca2 0.253 0.253 0.242
Al1 0.000 0.000 0.000

The value obtained for the total moment is 0.00 μB per formula unit. The symmetry is R-3m, No. 166.

ii.
The following is a DFT calculation (SCAN) of Ca2AlTl at its PBEsol-relaxed geometry.

a b c (Å): 5.294 5.294 5.294
angles (deg): 60.00 60.00 60.00
Fractional coordinates of all 4 atoms:
Ca1 0.250 0.250 0.250
Al1 0.500 0.500 0.500
Ca2 0.750 0.750 0.750
Tl1 0.000 0.000 0.000

The value obtained for the total moment is 0.00 μB per formula unit. The symmetry is Fm-3m, No. 225.

iii.
The following is a DFT calculation (SCAN) of Ca2AlTl at its PBEsol-relaxed geometry.

a b c (Å): 3.634 3.634 8.664
angles (deg): 90.00 90.00 90.00
Fractional coordinates of all 4 atoms:
Ca1 0.000 0.000 0.945
Tl1 0.000 0.000 0.540
Al1 0.500 0.500 0.714
Ca2 0.500 0.500 0.300

The value obtained for the total moment is 0.06 μB per formula unit. The symmetry is P4mm, No. 99.

Most stable: ii (next structure +232 meV per atom)

i.
The following is a DFT calculation (SCAN) of CaAl2W at its PBEsol-relaxed geometry.

a b c (Å): 2.790 4.762 5.955
angles (deg): 95.02 90.00 107.04
Fractional coordinates of all 4 atoms:
Al1 0.760 0.520 0.806
Al2 0.240 0.480 0.194
Ca1 0.000 0.000 0.500
W1 0.500 0.000 0.000

The value obtained for the total moment is 0.00 μB per formula unit. The symmetry is C2/m, No. 12.

ii.
The following is a DFT calculation (SCAN) of CaAl2W at its PBEsol-relaxed geometry.

a b c (Å): 2.857 3.671 7.316
angles (deg): 90.00 90.00 90.00
Fractional coordinates of all 4 atoms:
Al1 0.500 0.500 0.192
Al2 0.000 0.000 0.988
W1 0.500 0.500 0.814
Ca1 0.000 0.000 0.506

The value obtained for the total moment is 0.00 μB per formula unit. The symmetry is Pmm2, No. 25.

iii.
The following is a DFT calculation (SCAN) of CaAl2W at its PBEsol-relaxed geometry.

a b c (Å): 2.810 5.145 5.145
angles (deg): 109.08 90.00 90.00
Fractional coordinates of all 4 atoms:
Al1 0.000 0.000 0.500
W1 0.500 0.500 0.500
Al2 0.000 0.500 0.000
Ca1 0.500 0.000 0.000

The value obtained for the total moment is 0.00 μB per formula unit. The symmetry is Cmmm, No. 65.

Most stable: i (next structure +113 meV per atom)

i.
The following is a DFT calculation (SCAN) of Al2CdCl at its PBEsol-relaxed geometry.

a b c (Å): 5.757 5.757 7.739
angles (deg): 111.84 111.84 90.00
Fractional coordinates of all 8 atoms:
Al1 0.125 0.127 0.750
Al2 0.873 0.375 0.250
Cd1 0.000 0.000 0.000
Al3 0.377 0.875 0.250
Cl1 0.750 0.250 0.500
Cd2 0.250 0.750 0.500
Cl2 0.500 0.500 0.000
Al4 0.625 0.623 0.750

The value obtained for the total moment is 0.00 μB per formula unit. The symmetry is I-42d, No. 122.

ii.
The following is a DFT calculation (SCAN) of Al2CdCl at its PBEsol-relaxed geometry.

a b c (Å): 2.996 4.801 5.548
angles (deg): 90.00 90.00 90.00
Fractional coordinates of all 4 atoms:
Cd1 0.500 0.500 0.000
Al1 0.000 0.000 0.253
Cl1 0.500 0.500 0.500
Al2 0.000 0.000 0.747

The value obtained for the total moment is 0.00 μB per formula unit. The symmetry is Pmmm, No. 47.

Most stable: ii (next structure +153 meV per atom)